one) Below is Zn2SiPb after structural relaxation, with properties calculated at the PBEsol level.

Cell: 4.083 4.064 6.030 Å, 109.92 90.00 120.15°
Positions (direct):
Pb: 0.504 0.007 0.511
Si: 0.710 0.420 0.130
Zn: 0.006 0.013 0.019
Zn: 0.280 0.560 0.840

***

two) Below is Zn2SiPb after structural relaxation, with properties calculated at the PBEsol level.

Cell: 3.854 4.199 5.750 Å, 106.36 90.00 117.32°
Positions (direct):
Pb: 0.000 0.000 0.500
Si: 0.500 0.000 0.000
Zn: 0.775 0.551 0.840
Zn: 0.225 0.449 0.160

***

three) Below is Zn2SiPb after structural relaxation, with properties calculated at the PBEsol level.

Cell: 3.426 4.346 5.785 Å, 115.42 90.00 90.00°
Positions (direct):
Pb: 0.500 0.500 0.000
Si: 0.000 0.500 0.500
Zn: 0.000 0.000 0.000
Zn: 0.500 0.000 0.500

***

four) Below is Zn2SiPb after structural relaxation, with properties calculated at the PBEsol level.

Cell: 3.362 3.362 8.250 Å, 78.24 78.24 60.00°
Positions (direct):
Pb: 0.501 0.501 0.497
Si: 0.263 0.263 0.210
Zn: 0.999 0.999 0.002
Zn: 0.736 0.736 0.791

***

Stability verdict: one), ahead by 0.6 kJ/mol of atoms